Ni2PBrO | PBE+U | optimized geometry

Cell: 4.255 4.255 5.033 Å, 90.00 90.00 90.00°
Space group P4/mmm (No. 123)
Asymmetric unit:
Ni  0.000  0.500  0.000 (multiplicity 2)
P  0.000  0.000  0.500 (multiplicity 1)
Br  0.000  0.000  0.000 (multiplicity 1)
O  0.500  0.500  0.500 (multiplicity 1)

Calculated values
Fermi-level density of states (states/eV per cell): 3.57
Uncorrected energy (eV per atom): -1.60
Total magnetization (μB per formula unit): 0.00